Record 1
RbAgMoO4 (PBE with a Hubbard U, optimized geometry); energy = -81.119 eV per cell; symmetry = P2_1/m (11)
1.0
6.2539 0.0000 0.0000
0.0000 6.8304 0.0000
-2.4413 0.0000 6.7191
Rb Ag Mo O
2 2 2 8
direct
0.2190 0.2500 0.4929 Rb
0.7810 0.7500 0.5071 Rb
0.4358 0.2500 0.0834 Ag
0.5642 0.7500 0.9166 Ag
0.2010 0.7500 0.1265 Mo
0.7990 0.2500 0.8735 Mo
0.0782 0.2500 0.8517 O
0.1850 0.7500 0.8681 O
0.3560 0.5382 0.2532 O
0.3560 0.9618 0.2532 O
0.6440 0.0382 0.7468 O
0.6440 0.4618 0.7468 O
0.8150 0.2500 0.1319 O
0.9218 0.7500 0.1483 O



Record 2
Tb4Cr6O19 (PBE with a Hubbard U, optimized geometry); energy = -220.130 eV per cell; symmetry = I23 (197)
1.0
-4.3090 4.3090 4.3090
4.3090 -4.3090 4.3090
4.3090 4.3090 -4.3090
Tb Cr O
4 6 19
direct
0.0000 0.0000 0.6792 Tb
0.0000 0.6792 0.0000 Tb
0.3208 0.3208 0.3208 Tb
0.6792 0.0000 0.0000 Tb
0.1635 0.6635 0.5000 Cr
0.3365 0.5000 0.8365 Cr
0.5000 0.1635 0.6635 Cr
0.5000 0.8365 0.3365 Cr
0.6635 0.5000 0.1635 Cr
0.8365 0.3365 0.5000 Cr
0.0000 0.0000 0.0000 O
0.0000 0.3505 0.3505 O
0.0000 0.6495 0.6495 O
0.0300 0.3566 0.7560 O
0.2440 0.6006 0.2740 O
0.2740 0.2440 0.6006 O
0.3267 0.9700 0.7260 O
0.3505 0.0000 0.3505 O
0.3505 0.3505 0.0000 O
0.3566 0.7560 0.0300 O
0.3994 0.6434 0.6733 O
0.6006 0.2740 0.2440 O
0.6434 0.6733 0.3994 O
0.6495 0.0000 0.6495 O
0.6495 0.6495 0.0000 O
0.6733 0.3994 0.6434 O
0.7260 0.3267 0.9700 O
0.7560 0.0300 0.3566 O
0.9700 0.7260 0.3267 O